1.
Density functional theory data (PBE-GGA) for crystalline La2SmAg5 at its relaxed geometry.

Lattice parameters (Å, degrees): 5.205 5.205 14.759 90.00 90.00 90.00
Space group I4/mmm (No. 139)
Unique sites:
La 0.000 0.000 0.228 (multiplicity 4)
Sm 0.000 0.000 0.500 (multiplicity 2)
Ag 0.000 0.000 0.000 (multiplicity 2)
Ag 0.000 0.500 0.111 (multiplicity 8)

Summary:
**Density**: 8.0 g cm⁻³
**Total magnetic moment**: 0.0 Bohr magnetons per cell
**Total energy**: -60.88 eV for the cell shown


2.
Density functional theory data (PBE-GGA) for crystalline LaSm2Ag at its relaxed geometry.

Lattice parameters (Å, degrees): 5.626 5.626 3.678 90.00 90.00 90.00
Space group P4/mmm (No. 123)
Unique sites:
La 0.000 0.000 0.000 (multiplicity 1)
Sm 0.000 0.500 0.500 (multiplicity 2)
Ag 0.500 0.500 0.000 (multiplicity 1)

Summary:
**Density**: 7.8 g cm⁻³
**Total magnetic moment**: 0.0 Bohr magnetons per cell
**Relative energy among the computed polymorphs**: 0.50 eV per formula unit
**Total energy**: -17.18 eV for the cell shown


3.
Density functional theory data (PBE-GGA) for crystalline LaSm2Ag at its relaxed geometry.

Lattice parameters (Å, degrees): 3.733 3.733 8.714 90.00 90.00 90.00
Space group P4/mmm (No. 123)
Unique sites:
La 0.000 0.000 0.000 (multiplicity 1)
Sm 0.500 0.500 0.291 (multiplicity 2)
Ag 0.000 0.000 0.500 (multiplicity 1)

Summary:
**Density**: 7.5 g cm⁻³
**Total magnetic moment**: 0.0 Bohr magnetons per cell
**Relative energy among the computed polymorphs**: 0.00 eV per formula unit
**Total energy**: -17.67 eV for the cell shown


4.
Density functional theory data (PBE-GGA) for crystalline LaSmAg at its relaxed geometry.

Lattice parameters (Å, degrees): 3.763 3.763 12.718 90.00 90.00 90.00
Space group I4mm (No. 107)
Unique sites:
La 0.000 0.000 0.000 (multiplicity 2)
Sm 0.000 0.000 0.295 (multiplicity 2)
Ag 0.000 0.000 0.659 (multiplicity 2)

Summary:
**Density**: 7.3 g cm⁻³
**Total magnetic moment**: 1.2 Bohr magnetons per cell
**Relative energy among the computed polymorphs**: 0.01 eV per formula unit
**Total energy**: -25.88 eV for the cell shown


5.
Density functional theory data (PBE-GGA) for crystalline La2SmAg at its relaxed geometry.

Lattice parameters (Å, degrees): 7.916 7.916 7.916 90.00 90.00 90.00
Space group Fm-3m (No. 225)
Unique sites:
La 0.250 0.250 0.250 (multiplicity 8)
Sm 0.000 0.000 0.000 (multiplicity 4)
Ag 0.000 0.000 0.500 (multiplicity 4)

Summary:
**Density**: 7.2 g cm⁻³
**Total magnetic moment**: 0.0 Bohr magnetons per cell
**Relative energy among the computed polymorphs**: 0.65 eV per formula unit
**Total energy**: -68.76 eV for the cell shown


6.
Density functional theory data (PBE-GGA) for crystalline La2Sm3Ag3 at its relaxed geometry.

Lattice parameters (Å, degrees): 3.773 5.400 22.357 90.00 90.00 90.00
Space group Immm (No. 71)
Unique sites:
La 0.000 0.000 0.230 (multiplicity 4)
Sm 0.000 0.000 0.000 (multiplicity 2)
Sm 0.000 0.500 0.118 (multiplicity 4)
Ag 0.000 0.000 0.500 (multiplicity 2)
Ag 0.000 0.500 0.387 (multiplicity 4)

Summary:
**Density**: 7.7 g cm⁻³
**Total magnetic moment**: 0.0 Bohr magnetons per cell
**Total energy**: -67.77 eV for the cell shown


7.
Density functional theory data (PBE-GGA) for crystalline La2SmAg4 at its relaxed geometry.

Lattice parameters (Å, degrees): 5.578 5.578 12.703 90.00 90.00 90.00
Space group I4/mmm (No. 139)
Unique sites:
La 0.000 0.000 0.216 (multiplicity 4)
Sm 0.000 0.000 0.500 (multiplicity 2)
Ag 0.000 0.500 0.116 (multiplicity 8)

Summary:
**Density**: 7.2 g cm⁻³
**Total magnetic moment**: 0.0 Bohr magnetons per cell
**Total energy**: -53.45 eV for the cell shown


8.
Density functional theory data (PBE-GGA) for crystalline La2Sm6Ag at its relaxed geometry.

Lattice parameters (Å, degrees): 3.668 10.481 15.681 90.00 90.00 90.00
Space group Immm (No. 71)
Unique sites:
La 0.000 0.000 0.137 (multiplicity 4)
Sm 0.000 0.257 0.500 (multiplicity 4)
Sm 0.000 0.343 0.181 (multiplicity 8)
Ag 0.000 0.500 0.000 (multiplicity 2)

Summary:
**Density**: 7.1 g cm⁻³
**Total magnetic moment**: 0.0 Bohr magnetons per cell
**Total energy**: -80.91 eV for the cell shown


9.
Density functional theory data (PBE-GGA) for crystalline LaSm5Ag6 at its relaxed geometry.

Lattice parameters (Å, degrees): 5.306 15.933 7.382 90.00 90.00 90.00
Space group Cmmm (No. 65)
Unique sites:
La 0.000 0.000 0.000 (multiplicity 2)
Sm 0.000 0.000 0.500 (multiplicity 2)
Sm 0.000 0.332 0.000 (multiplicity 4)
Sm 0.000 0.335 0.500 (multiplicity 4)
Ag 0.000 0.170 0.255 (multiplicity 8)
Ag 0.000 0.500 0.257 (multiplicity 4)

Summary:
**Density**: 8.2 g cm⁻³
**Total magnetic moment**: 0.0 Bohr magnetons per cell
**Total energy**: -97.82 eV for the cell shown


10.
Density functional theory data (PBE-GGA) for crystalline LaSmAg2 at its relaxed geometry.

Lattice parameters (Å, degrees): 3.751 3.751 7.597 90.00 90.00 90.00
Space group P4/mmm (No. 123)
Unique sites:
La 0.000 0.000 0.000 (multiplicity 1)
Sm 0.000 0.000 0.500 (multiplicity 1)
Ag 0.500 0.500 0.267 (multiplicity 2)

Summary:
**Density**: 7.8 g cm⁻³
**Total magnetic moment**: 0.0 Bohr magnetons per cell
**Total energy**: -16.43 eV for the cell shown


11.
Density functional theory data (PBE-GGA) for crystalline LaSmAg at its relaxed geometry.

Lattice parameters (Å, degrees): 7.476 3.721 12.884 90.00 90.00 90.00
Space group Pnma (No. 62)
Unique sites:
La 0.130 0.250 0.095 (multiplicity 4)
Sm 0.119 0.250 0.391 (multiplicity 4)
Ag 0.125 0.250 0.758 (multiplicity 4)

Summary:
**Density**: 7.4 g cm⁻³
**Total magnetic moment**: 0.7 Bohr magnetons per cell
**Relative energy among the computed polymorphs**: 0.01 eV per formula unit
**Total energy**: -51.78 eV for the cell shown


12.
Density functional theory data (PBE-GGA) for crystalline La5SmAg6 at its relaxed geometry.

Lattice parameters (Å, degrees): 5.416 7.526 8.550 90.00 108.20 90.00
Space group P2/m (No. 10)
Unique sites:
La 0.000 0.000 0.000 (multiplicity 1)
La 0.332 0.000 0.664 (multiplicity 2)
La 0.334 0.500 0.667 (multiplicity 2)
Sm 0.000 0.500 0.000 (multiplicity 1)
Ag 0.163 0.255 0.326 (multiplicity 4)
Ag 0.500 0.259 0.000 (multiplicity 2)

Summary:
**Density**: 7.5 g cm⁻³
**Total magnetic moment**: 0.0 Bohr magnetons per cell
**Total energy**: -49.57 eV for the cell shown


13.
Density functional theory data (PBE-GGA) for crystalline LaSm3Ag4 at its relaxed geometry.

Lattice parameters (Å, degrees): 5.312 5.312 7.418 90.00 90.00 90.00
Space group P4/mmm (No. 123)
Unique sites:
La 0.000 0.000 0.000 (multiplicity 1)
Sm 0.000 0.000 0.500 (multiplicity 1)
Sm 0.500 0.500 0.000 (multiplicity 1)
Sm 0.500 0.500 0.500 (multiplicity 1)
Ag 0.000 0.500 0.259 (multiplicity 4)

Summary:
**Density**: 8.1 g cm⁻³
**Total magnetic moment**: 0.0 Bohr magnetons per cell
**Total energy**: -32.64 eV for the cell shown


14.
Density functional theory data (PBE-GGA) for crystalline La2SmAg at its relaxed geometry.

Lattice parameters (Å, degrees): 3.799 3.799 8.815 90.00 90.00 90.00
Space group P4/mmm (No. 123)
Unique sites:
La 0.000 0.000 0.218 (multiplicity 2)
Sm 0.500 0.500 0.500 (multiplicity 1)
Ag 0.500 0.500 0.000 (multiplicity 1)

Summary:
**Density**: 7.0 g cm⁻³
**Total magnetic moment**: 0.0 Bohr magnetons per cell
**Relative energy among the computed polymorphs**: 0.00 eV per formula unit
**Total energy**: -17.84 eV for the cell shown


15.
Density functional theory data (PBE-GGA) for crystalline LaSm4Ag5 at its relaxed geometry.

Lattice parameters (Å, degrees): 3.706 3.706 18.966 90.00 90.00 90.00
Space group P4/mmm (No. 123)
Unique sites:
La 0.000 0.000 0.000 (multiplicity 1)
Sm 0.000 0.000 0.204 (multiplicity 2)
Sm 0.000 0.000 0.401 (multiplicity 2)
Ag 0.500 0.500 0.108 (multiplicity 2)
Ag 0.500 0.500 0.302 (multiplicity 2)
Ag 0.500 0.500 0.500 (multiplicity 1)

Summary:
**Density**: 8.2 g cm⁻³
**Total magnetic moment**: 0.0 Bohr magnetons per cell
**Total energy**: -40.82 eV for the cell shown


16.
Density functional theory data (PBE-GGA) for crystalline La2Sm2Ag at its relaxed geometry.

Lattice parameters (Å, degrees): 3.726 3.726 23.339 90.00 90.00 90.00
Space group I4/mmm (No. 139)
Unique sites:
La 0.000 0.000 0.086 (multiplicity 4)
Sm 0.000 0.000 0.302 (multiplicity 4)
Ag 0.000 0.000 0.500 (multiplicity 2)

Summary:
**Density**: 7.0 g cm⁻³
**Total magnetic moment**: 0.0 Bohr magnetons per cell
**Total energy**: -45.10 eV for the cell shown


17.
Density functional theory data (PBE-GGA) for crystalline La3SmAg at its relaxed geometry.

Lattice parameters (Å, degrees): 10.764 7.086 8.979 90.00 108.26 90.00
Space group C2/m (No. 12)
Unique sites:
La 0.048 0.000 0.191 (multiplicity 4)
La 0.159 0.241 0.631 (multiplicity 8)
Sm 0.179 0.500 0.994 (multiplicity 4)
Ag 0.072 0.500 0.298 (multiplicity 4)

Summary:
**Density**: 6.9 g cm⁻³
**Total magnetic moment**: 0.0 Bohr magnetons per cell
**Total energy**: -89.87 eV for the cell shown


18.
Density functional theory data (PBE-GGA) for crystalline La5SmAg at its relaxed geometry.

Lattice parameters (Å, degrees): 12.088 6.788 12.087 90.00 107.48 90.00
Space group C2/c (No. 15)
Unique sites:
La 0.000 0.232 0.250 (multiplicity 4)
La 0.154 0.063 0.557 (multiplicity 8)
La 0.236 0.419 0.161 (multiplicity 8)
Sm 0.000 0.298 0.750 (multiplicity 4)
Ag 0.000 0.500 0.000 (multiplicity 4)

Summary:
**Density**: 6.7 g cm⁻³
**Total magnetic moment**: 0.0 Bohr magnetons per cell
**Total energy**: -126.57 eV for the cell shown


19.
Density functional theory data (PBE-GGA) for crystalline LaSm2Ag at its relaxed geometry.

Lattice parameters (Å, degrees): 7.710 7.710 7.710 90.00 90.00 90.00
Space group Fm-3m (No. 225)
Unique sites:
La 0.000 0.000 0.000 (multiplicity 4)
Sm 0.250 0.250 0.250 (multiplicity 8)
Ag 0.000 0.000 0.500 (multiplicity 4)

Summary:
**Density**: 7.9 g cm⁻³
**Total magnetic moment**: 8.3 Bohr magnetons per cell
**Relative energy among the computed polymorphs**: 0.79 eV per formula unit
**Total energy**: -67.55 eV for the cell shown


20.
Density functional theory data (PBE-GGA) for crystalline LaSm2Ag6 at its relaxed geometry.

Lattice parameters (Å, degrees): 8.3360 8.3360 3.5743 90.00 90.00 120.00
Space group P6/mmm (No. 191)
Unique sites:
La 0.0000 0.0000 0.0000 (multiplicity 1)
Sm 0.3333 0.6667 0.0000 (multiplicity 2)
Ag 0.0000 0.3352 0.5000 (multiplicity 6)

Summary:
**Density**: 8.4 g cm⁻³
**Total magnetic moment**: 0.0 Bohr magnetons per cell
**Total energy**: -33.83 eV for the cell shown